1.
# MgSc2Ag GGA-PBEsol relaxed
# energy of formation	-0.64	eV per formula unit
data_MgSc2Ag
_cell_length_a 3.480
_cell_length_b 3.480
_cell_length_c 6.869
_cell_angle_alpha 90.00
_cell_angle_beta 90.00
_cell_angle_gamma 90.00
_symmetry_space_group_name_H-M 'P 4/m m m'
_symmetry_Int_Tables_number 123
_symmetry_space_group_name_Hall '-P 4 2'
loop_
_atom_site_label
_atom_site_fract_x
_atom_site_fract_y
_atom_site_fract_z
Mg1 0.000 0.000 0.000
Sc1 0.500 0.500 0.264
Ag1 0.000 0.000 0.500

---

2.
# ReP2Se GGA-PBEsol relaxed
# raw formation energy	0.0651	eV/atom
data_ReP2Se
_cell_length_a 7.574
_cell_length_b 3.153
_cell_length_c 6.280
_cell_angle_alpha 90.00
_cell_angle_beta 98.14
_cell_angle_gamma 90.00
_symmetry_space_group_name_H-M 'C 1 m 1'
_symmetry_Int_Tables_number 8
loop_
_symmetry_equiv_pos_as_xyz
'x,y,z'
'x,-y,z'
'x+1/2,y+1/2,z'
'x+1/2,-y+1/2,z'
loop_
_atom_site_label
_atom_site_fract_x
_atom_site_fract_y
_atom_site_fract_z
Re1 0.000 0.000 0.000
P1 0.028 0.500 0.321
P2 0.223 0.500 0.119
Se1 0.266 0.000 0.745

---

3.
# CsTcPd2 GGA-PBEsol relaxed
# energy of formation	4.79	eV per formula unit
data_CsTcPd2
_cell_length_a 6.842
_cell_length_b 6.842
_cell_length_c 6.842
_cell_angle_alpha 90.00
_cell_angle_beta 90.00
_cell_angle_gamma 90.00
_symmetry_space_group_name_H-M 'F m -3 m'
_symmetry_Int_Tables_number 225
_symmetry_space_group_name_Hall '-F 4 2 3'
loop_
_atom_site_label
_atom_site_fract_x
_atom_site_fract_y
_atom_site_fract_z
Cs1 0.000 0.000 0.000
Tc1 0.000 0.000 0.500
Pd1 0.250 0.250 0.250

---

Q: Which magnetization values were calculated for the entries above? A: 0.00, 0.00, 3.57, in μB per formula unit.